Material: YIrPd
Method: DFT, PBE
State: optimized geometry

```
YIrPd
1.0
2.3608 -1.1846 3.6829
-0.9291 -3.8893 2.1332
2.9313 -3.4508 -0.2003
Y Pd Ir
1 1 1
Cartesian
3.2722 -6.3935 4.2118
1.0907 -2.1312 1.4039
0.0000 0.0000 0.0000
```

Properties
Magnetic moment: 0.00 μB/atom
Energy relative to the elements: -0.64 eV/f.u.
Space-group type: F-43m, No. 216
Excess energy over the best structure of this formula in the dataset: 0.000 eV per atom

Material: NbTe2
Method: DFT, PBE
State: optimized geometry

```
NbTe2
1.0
1.5865 -4.2893 -1.6947
1.6057 -3.4043 3.1014
-2.6228 -4.0418 0.7563
Te Nb
2 1
Cartesian
0.1423 -2.9338 0.5407
0.4270 -8.8015 1.6222
0.0000 0.0000 0.0000
```

Properties
Magnetic moment: 0.53 μB/atom
Space-group type: Fm-3m, No. 225
Raw total energy: -5.519 eV per atom

Material: TePdPbO
Method: DFT, PBE
State: optimized geometry

```
TePdPbO
1.0
-1.1059 3.0350 -2.2287
-0.6276 -2.4389 -3.0099
-12.0099 -1.5908 3.7931
O Te Pd Pb
2 2 2 2
Cartesian
-6.7521 -1.8658 -0.9180
-6.9913 0.8711 -0.5274
-11.9715 -0.9664 -0.5585
-1.7718 -0.0283 -0.8869
-2.5063 0.2873 -3.5479
-11.2370 -1.2820 2.1025
-5.2665 -0.4911 0.2168
-8.4769 -0.5035 -1.6622
```

Properties
Space-group type: P4/nmm, No. 129
Excess energy over the best structure of this formula in the dataset: 0.000 eV per atom

Material: TmTlAsO
Method: DFT, PBE
State: optimized geometry

```
TmTlAsO
1.0
4.6059 0.0000 0.0000
0.0000 4.6059 0.0000
0.0000 0.0000 8.3634
As Tl O Tm
2 2 2 2
Cartesian
3.4545 3.4545 2.6645
1.1515 1.1515 5.6989
1.1515 1.1515 0.8386
3.4545 3.4545 7.5249
1.1515 3.4545 0.0000
3.4545 1.1515 0.0000
1.1515 3.4545 4.1817
3.4545 1.1515 4.1817
```

Properties
Magnetic moment: 0.00 μB/atom
Space-group type: P4/nmm, No. 129
Excess energy over the best structure of this formula in the dataset: 0.925 eV per atom

Material: HfGaFeHg
Method: DFT, PBE
State: optimized geometry

```
HfGaFeHg
1.0
0.0000 3.2639 3.2639
3.2639 0.0000 3.2639
3.2639 3.2639 0.0000
Hf Ga Fe Hg
1 1 1 1
Cartesian
3.2639 3.2639 3.2639
0.0000 0.0000 0.0000
4.8958 4.8958 4.8958
1.6319 1.6319 1.6319
```

Properties
Magnetic moment: 0.41 μB/atom
Space-group type: F-43m, No. 216
Excess energy over the best structure of this formula in the dataset: 0.042 eV per atom

Material: RbSiAg
Method: DFT, PBE
State: optimized geometry

```
RbSiAg
1.0
-2.0561 0.3745 4.6717
-3.4976 3.6068 0.9749
-4.8880 -1.3137 0.7573
Ag Si Rb
1 1 1
Cartesian
-2.6104 0.6669 1.6010
0.0000 0.0000 0.0000
-7.8312 2.0007 4.8029
```

Properties
Space-group type: F-43m, No. 216
Excess energy over the best structure of this formula in the dataset: 0.034 eV per atom

Material: LaBeNb
Method: DFT, PBE
State: optimized geometry

```
LaBeNb
1.0
0.0000 3.2816 3.2816
3.2816 0.0000 3.2816
3.2816 3.2816 0.0000
Be Nb La
1 1 1
Cartesian
1.6408 1.6408 1.6408
4.9223 4.9223 4.9223
0.0000 0.0000 0.0000
```

Properties
Magnetic moment: 0.66 μB/atom
Space-group type: F-43m, No. 216
Excess energy over the best structure of this formula in the dataset: 0.486 eV per atom

Material: Li2Zn2NiSn2Pt
Method: DFT, PBE
State: optimized geometry

```
Li2Zn2NiSn2Pt
1.0
-3.0446 -2.9871 1.1515
1.2376 -2.5638 -3.3783
4.2011 -2.8537 3.7048
Zn Li Sn Pt Ni
2 2 2 1 1
Cartesian
1.6571 -3.6533 3.3796
1.6405 -1.9759 -0.7882
1.1971 -4.2023 0.7390
0.0000 0.0000 0.0000
-0.5392 -2.1613 1.4427
3.8369 -3.4679 1.1487
2.1006 -1.4269 1.8524
-0.9035 -2.7755 -1.1134
```

Properties
Magnetic moment: 0.00 μB/atom
Space-group type: P-4m2, No. 115
Raw total energy: -3.644 eV per atom

Material: Zr6Al2NiH10
Method: DFT, PBE
State: optimized geometry

```
Zr6Al2NiH10
1.0
-6.1589 -0.9260 -5.0847
3.0671 -6.3846 3.8044
-4.6120 1.0041 5.4034
Al Zr H Ni
4 12 20 2
Cartesian
-5.6256 -2.1921 0.8566
-7.4595 -1.7928 3.0051
-2.0782 -4.1144 3.2665
-0.2443 -4.5137 1.1179
-3.1209 -1.4248 2.3642
-2.8348 -5.6724 5.7794
-6.8416 -0.1799 -1.0429
-5.8745 -3.0116 -2.0728
-2.4627 -1.9763 5.4101
-0.0473 -4.1998 5.5034
-0.8149 -1.9269 -0.3375
-5.1042 -3.7873 3.4921
-3.2382 -4.0291 0.3665
2.2587 -4.7019 2.8017
-4.5356 -0.6819 -3.7446
-3.5971 -0.4429 -0.6063
-2.2325 -5.2788 -0.9245
-4.0178 0.2447 1.2885
-8.4998 -0.8297 0.0442
-2.3060 0.5021 2.7017
-1.9922 -3.8521 6.1603
-4.5385 -4.7767 1.7772
-3.1238 -6.0662 0.8427
-6.5510 -4.9007 2.4641
-4.5769 -0.2470 3.2842
0.8525 -1.7745 1.0574
0.7992 -5.4693 4.0802
-1.1592 -1.4068 1.6537
-1.7118 -0.2574 -1.4132
-5.1483 -1.1225 -1.8040
-4.8008 -4.3503 -0.9076
0.0000 0.0000 0.0000
-4.3844 -5.4590 4.4171
-1.4535 -1.2724 3.7591
-2.7606 -2.0107 0.3990
-4.0251 -2.1249 4.1042
-3.4590 0.7531 4.0525
-1.1530 0.2510 1.3509
```

Properties
Magnetic moment: 0.00 μB/atom
Space-group type: P-62c, No. 190
Raw total energy: -5.616 eV per atom

Material: KUFe
Method: DFT, PBE
State: optimized geometry

```
KUFe
1.0
0.0000 3.3661 3.3661
3.3661 0.0000 3.3661
3.3661 3.3661 0.0000
Fe K U
1 1 1
Cartesian
0.0000 0.0000 0.0000
5.0491 5.0491 5.0491
1.6830 1.6830 1.6830
```

Properties
Magnetic moment: 0.63 μB/atom
Space-group type: F-43m, No. 216
Excess energy over the best structure of this formula in the dataset: 0.000 eV per atom

Material: PrSm2Al7Cu2
Method: DFT, PBE
State: optimized geometry

```
PrSm2Al7Cu2
1.0
2.7825 1.6065 8.5898
-2.7825 1.6065 8.5898
0.0000 -3.2130 8.5898
Al Cu Sm Pr
7 2 2 1
Cartesian
1.4167 -0.8179 10.6010
-1.4167 0.8179 15.1682
0.0000 0.0000 12.8846
0.0000 1.6358 10.6010
1.4167 0.8179 15.1682
0.0000 -1.6358 15.1682
-1.4167 -0.8179 10.6010
0.0000 0.0000 17.1269
0.0000 0.0000 8.6424
0.0000 0.0000 3.6524
0.0000 0.0000 22.1168
0.0000 0.0000 0.0000
```

Properties
Magnetic moment: 0.00 μB/atom
Space-group type: R-3m, No. 166
Raw total energy: -4.481 eV per atom

Material: NdTm2NiSn3Ir2
Method: DFT, PBE
State: optimized geometry

```
NdTm2NiSn3Ir2
1.0
3.8452 0.0000 0.0000
0.0000 6.5484 3.7409
0.0000 -6.5484 3.7409
Ni Tm Ir Sn Nd
1 2 2 3 1
Cartesian
0.0000 0.0000 7.4479
0.0000 -3.8798 2.2190
0.0000 3.8798 2.2190
1.9226 -2.2509 3.7550
1.9226 2.2509 3.7550
1.9226 4.8688 4.6744
1.9226 -4.8688 4.6744
1.9226 0.0000 5.6062
0.0000 0.0000 3.0577
```

Properties
Magnetic moment: 0.00 μB/atom
Space-group type: Amm2, No. 38
Raw total energy: -6.212 eV per atom